# 1
First-principles (PBE) data for a geometry-optimized InNi3Cl structure, as listed in Alexandria.

The structure in POSCAR format:
```
InNi3Cl
1.0
-3.086 3.666 0.025
-3.244 -2.747 2.211
1.706 1.407 4.251
Ni Cl In
3 1 1
Direct
0.000 0.500 0.000 Ni
0.000 0.000 0.500 Ni
0.500 0.000 0.000 Ni
0.500 0.500 0.500 Cl
0.000 0.000 0.000 In
```

Output
The size of the total moment is 1.0 μB per formula unit. Its uncorrected formation energy is 5.94 eV per formula unit. Its density of states at the Fermi level is 9.77 states/eV/cell.



# 2
First-principles (PBE) data for a geometry-optimized BaFe4Sb structure, as listed in Alexandria.

The structure in POSCAR format:
```
BaFe4Sb
1.0
1.060 -4.507 -2.691
1.824 -4.308 2.606
-3.147 -4.289 0.615
Ba Fe Sb
1 4 1
Direct
0.000 0.000 0.000 Ba
0.873 0.376 0.376 Fe
0.376 0.376 0.873 Fe
0.376 0.873 0.376 Fe
0.376 0.376 0.376 Fe
0.750 0.750 0.750 Sb
```

Output
The size of the total moment is 11.0 μB per formula unit. Its uncorrected formation energy is 2.68 eV per formula unit. Its density of states at the Fermi level is 5.55 states/eV/cell.



# 3
First-principles (PBE) data for a geometry-optimized TaNiGePtAu structure, as listed in Alexandria.

The structure in POSCAR format:
```
TaNiGePtAu
1.0
3.150 0.005 0.004
1.572 4.737 0.004
1.557 1.662 5.439
Ta Ni Ge Pt Au
1 1 1 1 1
Direct
0.789 0.771 0.221 Ta
0.028 0.150 0.368 Ni
0.590 0.354 0.038 Ge
0.264 0.470 0.578 Pt
0.470 0.876 0.761 Au
```

Output
The size of the total moment is 0.0 μB per formula unit. Its energy of formation is -156 meV per atom. Its density of states at the Fermi level is 1.48 states/eV/cell.



# 4
First-principles (PBE) data for a geometry-optimized FeSn2TePb structure, as listed in Alexandria.

The structure in POSCAR format:
```
FeSn2TePb
1.0
4.991 0.000 0.000
0.000 4.991 0.000
0.000 0.000 5.180
Pb Te Sn Fe
1 1 2 1
Direct
0.000 0.000 0.500 Pb
0.500 0.500 0.500 Te
0.000 0.500 0.000 Sn
0.500 0.000 0.000 Sn
0.000 0.000 0.000 Fe
```

Output
The size of the total moment is 0.0 μB per formula unit. Its uncorrected formation energy is -0.04 eV per formula unit. Its density of states at the Fermi level is 0.26 states/eV/cell.



# 5
First-principles (PBE) data for a geometry-optimized LiEuScPt structure, as listed in Alexandria.

The structure in POSCAR format:
```
LiEuScPt
1.0
4.916 0.000 0.000
2.458 4.257 0.000
2.458 1.419 4.014
Eu Sc Pt Li
1 1 1 1
Direct
0.500 0.500 0.500 Eu
0.000 0.000 0.000 Sc
0.750 0.750 0.750 Pt
0.250 0.250 0.250 Li
```

Output
The size of the total moment is 6.9 μB per formula unit. Its energy of formation is -515 meV per atom. Its density of states at the Fermi level is 3.94 states/eV/cell.



# 6
First-principles (PBE) data for a geometry-optimized Pr2Ge2I structure, as listed in Alexandria.

The structure in POSCAR format:
```
Pr2Ge2I
1.0
3.959 0.000 -0.907
-0.827 7.532 -3.612
0.199 0.118 9.958
Pr Ge I
4 4 2
Direct
0.347 0.848 0.695 Pr
0.347 0.348 0.695 Pr
0.653 0.152 0.305 Pr
0.653 0.652 0.305 Pr
0.203 0.953 0.406 Ge
0.797 0.547 0.594 Ge
0.797 0.047 0.594 Ge
0.203 0.453 0.406 Ge
0.490 0.750 0.000 I
0.510 0.250 0.000 I
```

Output
The size of the total moment is 0.0 μB per formula unit. Its uncorrected formation energy is -4.71 eV per formula unit. Its density of states at the Fermi level is 2.32 states/eV/cell.



# 7
First-principles (PBE) data for a geometry-optimized Ir3WN structure, as listed in Alexandria.

The structure in POSCAR format:
```
Ir3WN
1.0
-0.743 2.008 -4.271
3.547 -2.615 -1.847
-3.114 -3.458 -1.084
Ir W N
3 1 1
Direct
0.000 0.500 0.000 Ir
0.000 0.000 0.500 Ir
0.500 0.000 0.000 Ir
0.000 0.000 0.000 W
0.500 0.500 0.500 N
```

Output
The size of the total moment is 3.3 μB per formula unit. Its uncorrected formation energy is 14.02 eV per formula unit. Its density of states at the Fermi level is 3.71 states/eV/cell.



# 8
First-principles (PBE) data for a geometry-optimized Y4Er8Pu structure, as listed in Alexandria.

The structure in POSCAR format:
```
Y4Er8Pu
1.0
7.494 -1.140 1.311
0.896 7.527 1.311
-1.497 -1.140 7.459
Y Er Pu
4 8 1
Direct
0.500 0.000 0.500 Y
0.000 0.500 0.500 Y
0.500 0.500 0.000 Y
0.000 0.000 0.000 Y
0.245 0.754 0.245 Er
0.755 0.755 0.246 Er
0.755 0.246 0.755 Er
0.246 0.755 0.755 Er
0.755 0.755 0.755 Er
0.245 0.245 0.245 Er
0.754 0.245 0.245 Er
0.245 0.245 0.754 Er
0.500 0.500 0.500 Pu
```

Output
The size of the total moment is 6.4 μB per formula unit. Its energy of formation is 540 meV per atom. Its density of states at the Fermi level is 18.83 states/eV/cell.



# 9
First-principles (PBE) data for a geometry-optimized LiCo4Re structure, as listed in Alexandria.

The structure in POSCAR format:
```
LiCo4Re
1.0
0.000 3.252 3.252
3.252 0.000 3.252
3.252 3.252 0.000
Li Co Re
1 4 1
Direct
0.750 0.750 0.750 Li
0.873 0.376 0.376 Co
0.376 0.376 0.873 Co
0.376 0.873 0.376 Co
0.376 0.376 0.376 Co
0.000 0.000 0.000 Re
```

Output
The size of the total moment is 0.0 μB per formula unit. Its energy of formation is 203 meV per atom. Its density of states at the Fermi level is 7.33 states/eV/cell.



# 10
First-principles (PBE) data for a geometry-optimized CdPb2 structure, as listed in Alexandria.

The structure in POSCAR format:
```
CdPb2
1.0
-0.536 -3.408 0.725
-0.089 -2.350 -2.626
15.856 -3.389 1.044
Cd Pb
2 4
Direct
0.000 0.500 0.000 Cd
0.500 0.000 0.500 Cd
0.096 0.596 0.660 Pb
0.904 0.404 0.340 Pb
0.715 0.215 0.839 Pb
0.285 0.785 0.161 Pb
```

Output
The size of the total moment is 0.0 μB per formula unit. Its energy of formation is 39 meV per atom. Its density of states at the Fermi level is 1.89 states/eV/cell.



# 11
First-principles (PBE) data for a geometry-optimized VFeSn2Br structure, as listed in Alexandria.

The structure in POSCAR format:
```
VFeSn2Br
1.0
-5.069 0.240 -1.826
-0.643 -3.942 1.266
-1.646 1.812 4.805
V Sn Br Fe
1 2 1 1
Direct
0.500 0.500 0.500 V
0.000 0.000 0.500 Sn
0.500 0.000 0.000 Sn
0.000 0.000 0.000 Br
0.000 0.500 0.000 Fe
```

Output
The size of the total moment is 0.2 μB per formula unit. Its uncorrected formation energy is 7.61 eV per formula unit. Its density of states at the Fermi level is 9.73 states/eV/cell.



# 12
First-principles (PBE) data for a geometry-optimized Hf3BeBi structure, as listed in Alexandria.

The structure in POSCAR format:
```
Hf3BeBi
1.0
-4.052 -1.154 3.227
1.045 -5.176 -0.538
3.264 0.224 4.179
Be Hf Bi
1 3 1
Direct
0.500 0.500 0.500 Be
0.000 0.500 0.000 Hf
0.000 0.000 0.500 Hf
0.500 0.000 0.000 Hf
0.000 0.000 0.000 Bi
```

Output
The size of the total moment is 0.0 μB per formula unit. Its energy of formation is 1748 meV per atom. Its density of states at the Fermi level is 6.33 states/eV/cell.



# 13
First-principles (PBE) data for a geometry-optimized AcSmDyLu structure, as listed in Alexandria.

The structure in POSCAR format:
```
AcSmDyLu
1.0
-3.628 3.998 -2.185
-5.090 -1.638 -2.309
-4.980 1.231 2.758
Ac Lu Sm Dy
1 1 1 1
Direct
0.750 0.750 0.750 Ac
0.500 0.500 0.500 Lu
0.250 0.250 0.250 Sm
0.000 0.000 0.000 Dy
```

Output
The size of the total moment is 0.0 μB per formula unit. Its energy of formation is 111 meV per atom. Its density of states at the Fermi level is 6.49 states/eV/cell.



# 14
First-principles (PBE) data for a geometry-optimized LaPr5SmY2 structure, as listed in Alexandria.

The structure in POSCAR format:
```
LaPr5SmY2
1.0
-0.810 6.916 6.461
-8.063 2.891 -4.105
0.674 -9.334 3.094
La Pr Sm Y
2 10 2 4
Direct
0.250 0.250 0.500 La
0.750 0.750 0.500 La
0.930 0.430 0.265 Pr
0.665 0.165 0.735 Pr
0.070 0.570 0.735 Pr
0.165 0.070 0.735 Pr
0.570 0.665 0.735 Pr
0.835 0.930 0.265 Pr
0.430 0.335 0.265 Pr
0.335 0.835 0.265 Pr
0.500 0.500 0.000 Pr
0.000 0.000 0.000 Pr
0.250 0.750 0.500 Sm
0.750 0.250 0.500 Sm
0.109 0.391 0.000 Y
0.609 0.109 0.000 Y
0.391 0.891 0.000 Y
0.891 0.609 0.000 Y
```

Output
The size of the total moment is 0.0 μB per formula unit. Its energy of formation is 278 meV per atom. Its density of states at the Fermi level is 29.47 states/eV/cell.



# 15
First-principles (PBE) data for a geometry-optimized Pr6Sn2PbSe3 structure, as listed in Alexandria.

The structure in POSCAR format:
```
Pr6Sn2PbSe3
1.0
4.422 0.000 0.000
0.000 8.906 0.254
-2.211 -2.636 9.328
Pr Sn Pb Se
6 2 1 3
Direct
0.330 0.921 0.660 Pr
0.665 0.587 0.330 Pr
0.670 0.079 0.340 Pr
0.998 0.258 0.996 Pr
0.002 0.742 0.004 Pr
0.335 0.413 0.670 Pr
0.834 0.667 0.667 Sn
0.166 0.333 0.333 Sn
0.500 0.000 0.000 Pb
0.500 0.500 0.000 Se
0.833 0.167 0.667 Se
0.167 0.833 0.333 Se
```

Output
The size of the total moment is 0.0 μB per formula unit. Its uncorrected formation energy is -15.01 eV per formula unit. Its density of states at the Fermi level is 4.35 states/eV/cell.



# 16
First-principles (PBE) data for a geometry-optimized PmSc2Te3 structure, as listed in Alexandria.

The structure in POSCAR format:
```
PmSc2Te3
1.0
-0.859 3.008 -2.749
-6.665 -3.133 -1.345
-6.019 3.977 9.387
Pm Sc Te
2 4 6
Direct
0.326 0.962 0.653 Pm
0.674 0.038 0.347 Pm
0.332 0.446 0.664 Sc
0.668 0.554 0.336 Sc
0.974 0.830 0.949 Sc
0.026 0.170 0.051 Sc
0.223 0.296 0.446 Te
0.106 0.814 0.211 Te
0.430 0.639 0.860 Te
0.777 0.704 0.554 Te
0.570 0.361 0.140 Te
0.894 0.186 0.789 Te
```

Output
The size of the total moment is 0.8 μB per formula unit. Its uncorrected formation energy is -6.48 eV per formula unit. Its density of states at the Fermi level is 6.32 states/eV/cell.



# 17
First-principles (PBE) data for a geometry-optimized NdSmMnCd structure, as listed in Alexandria.

The structure in POSCAR format:
```
NdSmMnCd
1.0
5.305 0.000 0.000
2.653 4.594 0.000
2.653 1.531 4.332
Mn Nd Sm Cd
1 1 1 1
Direct
0.500 0.500 0.500 Mn
0.750 0.750 0.750 Nd
0.250 0.250 0.250 Sm
0.000 0.000 0.000 Cd
```

Output
The size of the total moment is 3.3 μB per formula unit. Its energy of formation is 9 meV per atom. Its density of states at the Fermi level is 4.75 states/eV/cell.



# 18
First-principles (PBE) data for a geometry-optimized TaZnBr2 structure, as listed in Alexandria.

The structure in POSCAR format:
```
TaZnBr2
1.0
3.174 0.000 0.000
0.000 5.717 0.000
0.000 0.000 4.533
Br Ta Zn
2 1 1
Direct
0.000 0.000 0.000 Br
0.500 0.500 0.000 Br
0.500 0.000 0.500 Ta
0.000 0.500 0.500 Zn
```

Output
The size of the total moment is 0.0 μB per formula unit. Its uncorrected formation energy is 2.13 eV per formula unit. Its density of states at the Fermi level is 2.95 states/eV/cell.



# 19
First-principles (PBE) data for a geometry-optimized K3Hg2Cl7 structure, as listed in Alexandria.

The structure in POSCAR format:
```
K3Hg2Cl7
1.0
5.321 0.000 0.000
0.000 5.488 0.000
0.000 -2.744 12.984
K Hg Cl
3 2 7
Direct
0.500 0.500 0.000 K
0.500 0.672 0.344 K
0.500 0.328 0.656 K
0.000 0.896 0.793 Hg
0.000 0.104 0.207 Hg
0.000 0.404 0.809 Cl
0.000 0.798 0.597 Cl
0.000 0.000 0.000 Cl
0.000 0.596 0.191 Cl
0.500 0.097 0.194 Cl
0.500 0.903 0.806 Cl
0.000 0.202 0.403 Cl
```

Output
The size of the total moment is 0.0 μB per formula unit. Its uncorrected formation energy is -14.58 eV per formula unit.



# 20
First-principles (PBE) data for a geometry-optimized Pr4Sn2Ir structure, as listed in Alexandria.

The structure in POSCAR format:
```
Pr4Sn2Ir
1.0
-2.249 -2.491 -3.316
-4.247 -3.994 2.526
-7.098 3.640 -1.276
Pr Sn Ir
4 2 1
Direct
0.075 0.205 0.645 Pr
0.925 0.795 0.355 Pr
0.328 0.282 0.062 Pr
0.672 0.718 0.938 Pr
0.358 0.628 0.657 Sn
0.642 0.372 0.343 Sn
0.000 0.000 0.000 Ir
```

Output
The size of the total moment is 0.0 μB per formula unit. Its energy of formation is -662 meV per atom. Its density of states at the Fermi level is 6.44 states/eV/cell.